No. 1
DFT (PBE) results for CoAs after structural relaxation.

Output
- D(E_F): 0.806 states/eV per atom
- Calculated density: 7.25 g/cm³
- ΔE_f: 0.00 eV/atom
- Energy: -5.88 eV per atom

Structure (CIF):
```
data_CoAs
_cell_length_a 2.890
_cell_length_b 2.890
_cell_length_c 7.346
_cell_angle_alpha 90.00
_cell_angle_beta 90.00
_cell_angle_gamma 90.00
_symmetry_space_group_name_H-M 'P 4/n m m'
_symmetry_Int_Tables_number 129
loop_
_symmetry_equiv_pos_as_xyz
'x,y,z'
'-x,-y,-z'
'-y+1/2,x,z'
'y+1/2,-x,-z'
'-x+1/2,-y+1/2,z'
'x+1/2,y+1/2,-z'
'y,-x+1/2,z'
'-y,x+1/2,-z'
'x+1/2,-y,-z'
'-x+1/2,y,z'
'-y,-x,-z'
'y,x,z'
'-x,y+1/2,-z'
'x,-y+1/2,z'
'y+1/2,x+1/2,-z'
'-y+1/2,-x+1/2,z'
loop_
_atom_site_label
_atom_site_type_symbol
_atom_site_fract_x
_atom_site_fract_y
_atom_site_fract_z
Co1 Co 0.250 0.250 0.108
As1 As 0.250 0.250 0.715
```

---

No. 2
DFT (PBE) results for LiTmPd after structural relaxation.

Output
- D(E_F): 0.676 states/eV per atom
- Excess energy over the best structure of this formula in the dataset: 0.36 eV per formula unit
- Calculated density: 8.15 g/cm³
- ΔE_f: -0.51 eV/atom
- Energy: -4.37 eV per atom

Structure (CIF):
```
data_LiTmPd
_cell_length_a 3.523
_cell_length_b 3.523
_cell_length_c 9.269
_cell_angle_alpha 90.00
_cell_angle_beta 90.00
_cell_angle_gamma 90.00
_symmetry_space_group_name_H-M 'I 4 m m'
_symmetry_Int_Tables_number 107
_symmetry_space_group_name_Hall 'I 4 -2'
loop_
_atom_site_label
_atom_site_type_symbol
_atom_site_fract_x
_atom_site_fract_y
_atom_site_fract_z
Li1 Li 0.000 0.000 0.000
Tm1 Tm 0.000 0.000 0.302
Pd1 Pd 0.000 0.000 0.642
```

---

No. 3
DFT (PBE) results for SiHg2Sb after structural relaxation.

Output
- D(E_F): 0.382 states/eV per atom
- Energy relative to the elements, uncorrected: 234 meV/atom
- Excess energy over the best structure of this formula in the dataset: 0.27 eV per formula unit
- Calculated density: 8.33 g/cm³
- Energy: -2.30 eV per atom

Structure (CIF):
```
data_SiHg2Sb
_cell_length_a 3.687
_cell_length_b 3.687
_cell_length_c 8.079
_cell_angle_alpha 90.00
_cell_angle_beta 90.00
_cell_angle_gamma 90.00
_symmetry_space_group_name_H-M 'P 4 m m'
_symmetry_Int_Tables_number 99
loop_
_symmetry_equiv_pos_as_xyz
'x,y,z'
'-y,x,z'
'-x,-y,z'
'y,-x,z'
'-x,y,z'
'y,x,z'
'x,-y,z'
'-y,-x,z'
loop_
_atom_site_label
_atom_site_type_symbol
_atom_site_fract_x
_atom_site_fract_y
_atom_site_fract_z
Si1 Si 0.000 0.000 0.000
Hg1 Hg 0.000 0.000 0.680
Hg2 Hg 0.500 0.500 0.477
Sb1 Sb 0.500 0.500 0.108
```

---

Copy entry 2 word for word.
DFT (PBE) results for LiTmPd after structural relaxation.

Output
- D(E_F): 0.676 states/eV per atom
- Excess energy over the best structure of this formula in the dataset: 0.36 eV per formula unit
- Calculated density: 8.15 g/cm³
- ΔE_f: -0.51 eV/atom
- Energy: -4.37 eV per atom

Structure (CIF):
```
data_LiTmPd
_cell_length_a 3.523
_cell_length_b 3.523
_cell_length_c 9.269
_cell_angle_alpha 90.00
_cell_angle_beta 90.00
_cell_angle_gamma 90.00
_symmetry_space_group_name_H-M 'I 4 m m'
_symmetry_Int_Tables_number 107
_symmetry_space_group_name_Hall 'I 4 -2'
loop_
_atom_site_label
_atom_site_type_symbol
_atom_site_fract_x
_atom_site_fract_y
_atom_site_fract_z
Li1 Li 0.000 0.000 0.000
Tm1 Tm 0.000 0.000 0.302
Pd1 Pd 0.000 0.000 0.642
```

---

- Which value of calculated density does entry 1 give?
  7.25 g/cm³